Entry 1:
A plane-wave DFT calculation with GGA-PBE was carried out for LaZnSb after structural relaxation.

Results
Its space group is No. 44. The uncorrected formation energy comes out at -0.485 eV per atom.

a = 6.1256 Å, b = 6.1256 Å, c = 6.1256 Å
α = 147.34°, β = 140.61°, γ = 52.06°
Positions (direct):
La (0.0048, 0.0048, 0.0000)
Sb (0.3127, 0.3127, 0.0000)
Zn (0.6826, 0.6826, 0.0000)

***

Entry 2:
A plane-wave DFT calculation with GGA-PBE was carried out for AlCuAs2 after structural relaxation.

Results
Its space group is No. 38. The formation energy comes out at -2.35 kJ per mole of atoms.

a = 5.2105 Å, b = 3.6530 Å, c = 3.6505 Å
α = 90.00°, β = 90.00°, γ = 90.00°
Positions (direct):
As (0.0000, 0.8737, 0.8741)
As (0.5000, 0.3760, 0.3758)
Al (0.5000, 0.8765, 0.8760)
Cu (0.0000, 0.3738, 0.3741)

***

Entry 3:
A plane-wave DFT calculation with GGA-PBE was carried out for Mn2CuAu8 after structural relaxation.

Results
Its space group is No. 65. The formation energy comes out at 4.62 kJ per mole of atoms. Its relative energy among the computed polymorphs is 0 meV per atom.

a = 4.3085 Å, b = 6.8952 Å, c = 6.8952 Å
α = 105.84°, β = 89.96°, γ = 89.96°
Site moments in Bohr magnetons follow the coordinates.
Positions (direct):
Mn (0.0000, 0.6268, 0.3732)  3.92
Mn (0.0000, 0.3732, 0.6268)  3.92
Cu (0.5000, 0.0000, 0.0000)  0.02
Au (0.0006, 0.9574, 0.6960)  0.02
Au (0.0006, 0.6960, 0.9574)  0.02
Au (0.5009, 0.6680, 0.6680)  0.04
Au (0.5000, 0.2384, 0.7616)  0.05
Au (0.5000, 0.7616, 0.2384)  0.05
Au (0.4991, 0.3320, 0.3320)  0.04
Au (0.9994, 0.3040, 0.0426)  0.02
Au (0.9994, 0.0426, 0.3040)  0.02

***

Entry 4:
A plane-wave DFT calculation with GGA-PBE was carried out for Ni2HgCl after structural relaxation.

Results
Its space group is No. 122. The uncorrected formation energy comes out at 0.296 eV per atom. Its relative energy among the computed polymorphs is 217 meV per atom.

a = 4.7661 Å, b = 4.7661 Å, c = 7.6052 Å
α = 71.74°, β = 71.74°, γ = 90.00°
Site moments in Bohr magnetons follow the coordinates.
Positions (direct):
Ni (0.4850, 0.1250, 0.2500)  0.48
Ni (0.2650, 0.6250, 0.2500)  0.48
Ni (0.3750, 0.5150, 0.7500)  0.48
Ni (0.8750, 0.7350, 0.7500)  0.47
Hg (0.0000, 0.0000, 0.0000)  0.03
Hg (0.7500, 0.2500, 0.5000)  0.03
Cl (0.5000, 0.5000, 0.0000)  0.06
Cl (0.2500, 0.7500, 0.5000)  0.06

***

Entry 5:
A plane-wave DFT calculation with GGA-PBE was carried out for Na3PaV2Se6 after structural relaxation.

Results
Its space group is No. 12. The uncorrected formation energy comes out at -1.013 eV per atom.

a = 6.4533 Å, b = 6.4533 Å, c = 7.5578 Å
α = 97.92°, β = 97.92°, γ = 118.29°
Site moments in Bohr magnetons follow the coordinates.
Positions (direct):
Na (0.1695, 0.8305, 0.5000)  0.00
Na (0.8305, 0.1695, 0.5000)  0.00
Na (0.5000, 0.5000, 0.5000)  0.00
Pa (0.0000, 0.0000, 0.0000)  0.19
V (0.3714, 0.6286, 0.0000)  0.82
V (0.6286, 0.3714, 0.0000)  0.82
Se (0.9296, 0.5695, 0.7938)  -0.02
Se (0.7364, 0.7364, 0.2387)  -0.02
Se (0.0704, 0.4305, 0.2062)  -0.02
Se (0.5695, 0.9296, 0.7938)  -0.02
Se (0.2636, 0.2636, 0.7613)  -0.02
Se (0.4305, 0.0704, 0.2062)  -0.02

***

Entry 6:
A plane-wave DFT calculation with GGA-PBE was carried out for ZrBeAs2 after structural relaxation.

Results
Its space group is No. 122. The formation energy comes out at -24.96 kJ per mole of atoms.

a = 5.8015 Å, b = 5.8015 Å, c = 6.8233 Å
α = 64.84°, β = 64.84°, γ = 90.00°
Positions (direct):
Be (0.5000, 0.5000, 0.0000)
Be (0.2500, 0.7500, 0.5000)
As (0.5786, 0.1250, 0.2500)
As (0.1714, 0.6250, 0.2500)
As (0.3750, 0.4214, 0.7500)
As (0.8750, 0.8286, 0.7500)
Zr (0.0000, 0.0000, 0.0000)
Zr (0.7500, 0.2500, 0.5000)

***

Entry 7:
A plane-wave DFT calculation with GGA-PBE was carried out for RbCaI3 after structural relaxation.

Results
Its space group is No. 221. The uncorrected formation energy comes out at -1.530 eV per atom.

a = 6.1917 Å, b = 6.1917 Å, c = 6.1917 Å
α = 90.00°, β = 90.00°, γ = 90.00°
Positions (direct):
I (0.0000, 0.5000, 0.0000)
I (0.0000, 0.0000, 0.5000)
I (0.5000, 0.0000, 0.0000)
Ca (0.0000, 0.0000, 0.0000)
Rb (0.5000, 0.5000, 0.5000)

***

Entry 8:
A plane-wave DFT calculation with GGA-PBE was carried out for Dy2CdHg3 after structural relaxation.

Results
Its space group is No. 69. The formation energy comes out at -36.66 kJ per mole of atoms. Its relative energy among the computed polymorphs is 29 meV per atom.

a = 6.0226 Å, b = 6.0226 Å, c = 9.2217 Å
α = 102.35°, β = 102.35°, γ = 110.18°
Positions (direct):
Dy (0.2500, 0.7500, 0.5000)
Dy (0.7524, 0.7524, 0.0000)
Dy (0.7500, 0.2500, 0.5000)
Dy (0.2476, 0.2476, 0.0000)
Cd (0.6667, 0.6667, 0.3333)
Cd (0.3333, 0.3333, 0.6667)
Hg (0.3366, 0.8316, 0.1682)
Hg (0.1684, 0.6634, 0.8318)
Hg (0.6634, 0.1684, 0.8318)
Hg (0.8316, 0.3366, 0.1682)
Hg (0.1677, 0.1677, 0.3355)
Hg (0.8323, 0.8323, 0.6645)

***

E
In order: -3.926, -4.309, -4.375, -3.132, -5.396, -5.652, -3.054, -2.217
Unit: eV per atom
Total magnetic moment
In order: 0.000, 0.000, 0.770, 0.250, 0.167, 0.000, 0.000, 0.000
Unit: μB/atom